1.
The following is a PBE calculation of a relaxed structure of InSI2, from Alexandria via LeMat-Bulk.

```
InSI2
1.0
-3.240 3.240 8.682
3.240 -3.240 8.682
3.240 3.240 -8.682
In S I
2 2 4
Direct
0.000 0.000 0.000 In
0.750 0.250 0.500 In
0.250 0.750 0.500 S
0.500 0.500 0.000 S
0.230 0.625 0.105 I
0.375 0.480 0.605 I
0.520 0.125 0.895 I
0.875 0.770 0.395 I
```

2.
The following is a PBE calculation of a relaxed structure of In2SI, from Alexandria via LeMat-Bulk.

```
In2SI
1.0
0.000 3.826 3.826
3.826 0.000 3.826
3.826 3.826 0.000
In S I
2 1 1
Direct
0.250 0.250 0.250 In
0.750 0.750 0.750 In
0.000 0.000 0.000 S
0.500 0.500 0.500 I
```

3.
The following is a PBE calculation of a relaxed structure of In3SI, from Alexandria via LeMat-Bulk.

```
In3SI
1.0
6.296 0.000 0.000
0.000 6.296 0.000
0.000 0.000 6.296
In S I
3 1 1
Direct
0.000 0.000 0.500 In
0.000 0.500 0.000 In
0.500 0.000 0.000 In
0.500 0.500 0.500 S
0.000 0.000 0.000 I
```

4.
The following is a PBE calculation of a relaxed structure of InS2I, from Alexandria via LeMat-Bulk.

```
InS2I
1.0
2.018 1.165 7.958
-2.018 1.165 7.958
0.000 -2.330 7.958
In S I
1 2 1
Direct
0.000 0.000 0.000 In
0.389 0.389 0.389 S
0.611 0.611 0.611 S
0.500 0.500 0.500 I
```

5.
The following is a PBE calculation of a relaxed structure of InS3I, from Alexandria via LeMat-Bulk.

```
InS3I
1.0
4.088 0.000 0.000
1.121 5.863 0.000
0.486 1.733 7.543
In S I
1 3 1
Direct
0.000 0.000 0.000 In
0.286 0.384 0.239 S
0.390 0.710 0.213 S
0.437 0.286 0.999 S
0.864 0.928 0.681 I
```

6.
The following is a PBE calculation of a relaxed structure of InSI, from Alexandria via LeMat-Bulk.

```
InSI
1.0
5.004 0.000 0.000
0.000 4.171 0.000
-0.268 0.000 10.613
In S I
2 2 2
Direct
0.022 0.250 0.135 In
0.978 0.750 0.865 In
0.252 0.250 0.919 S
0.748 0.750 0.081 S
0.315 0.250 0.350 I
0.685 0.750 0.650 I
```

7.
The following is a PBE calculation of a relaxed structure of In3SI, from Alexandria via LeMat-Bulk.

```
In3SI
1.0
5.763 0.000 0.000
0.000 5.763 0.000
0.000 0.000 5.763
In S I
3 1 1
Direct
0.000 0.000 0.500 In
0.000 0.500 0.000 In
0.500 0.000 0.000 In
0.000 0.000 0.000 S
0.500 0.500 0.500 I
```

8.
The following is a PBE calculation of a relaxed structure of InSI, from Alexandria via LeMat-Bulk.

```
InSI
1.0
4.108 0.000 0.000
0.004 7.524 0.000
0.052 3.761 7.580
In S I
2 2 2
Direct
0.248 0.050 0.144 In
0.752 0.950 0.856 In
0.252 0.170 0.807 S
0.748 0.830 0.193 S
0.247 0.308 0.283 I
0.753 0.692 0.717 I
```

9.
The following is a PBE calculation of a relaxed structure of InSI2, from Alexandria via LeMat-Bulk.

```
InSI2
1.0
0.000 3.902 3.902
3.902 0.000 3.902
3.902 3.902 0.000
In S I
1 1 2
Direct
0.000 0.000 0.000 In
0.500 0.500 0.500 S
0.250 0.250 0.250 I
0.750 0.750 0.750 I
```

10.
The following is a PBE calculation of a relaxed structure of InS2I2, from Alexandria via LeMat-Bulk.

```
InS2I2
1.0
-2.357 3.323 5.084
2.357 -3.323 5.084
2.357 3.323 -5.084
In S I
1 2 2
Direct
0.000 0.000 0.000 In
0.500 0.298 0.798 S
0.500 0.702 0.202 S
0.201 0.701 0.500 I
0.799 0.299 0.500 I
```

11.
The following is a PBE calculation of a relaxed structure of InSI, from Alexandria via LeMat-Bulk.

```
InSI
1.0
6.935 0.000 0.000
0.000 4.061 0.000
-0.779 0.000 7.241
In S I
2 2 2
Direct
0.210 0.250 0.044 In
0.790 0.750 0.956 In
0.080 0.750 0.209 S
0.920 0.250 0.791 S
0.402 0.750 0.761 I
0.598 0.250 0.239 I
```

12.
The following is a PBE calculation of a relaxed structure of InS2I, from Alexandria via LeMat-Bulk.

```
InS2I
1.0
-3.551 3.551 4.868
3.551 -3.551 4.868
3.551 3.551 -4.868
In S I
2 4 2
Direct
0.000 0.000 0.000 In
0.750 0.250 0.500 In
0.061 0.625 0.936 S
0.375 0.311 0.436 S
0.689 0.125 0.064 S
0.875 0.939 0.564 S
0.250 0.750 0.500 I
0.500 0.500 0.000 I
```

Number 1: E -18.10 eV per cell, M_tot 0.00 Bohr magnetons per cell. Number 2: E -11.45 eV per cell, M_tot 0.00 Bohr magnetons per cell. Number 3: E -11.25 eV per cell, M_tot 0.00 Bohr magnetons per cell. Number 4: E -13.58 eV per cell, M_tot 0.00 Bohr magnetons per cell. Number 5: E -17.67 eV per cell, M_tot 0.00 Bohr magnetons per cell. Number 6: E -19.85 eV per cell, M_tot 0.00 Bohr magnetons per cell. Number 7: E -14.12 eV per cell, M_tot 0.00 Bohr magnetons per cell. Number 8: E -19.84 eV per cell, M_tot 0.00 Bohr magnetons per cell. Number 9: E -8.43 eV per cell, M_tot 1.73 Bohr magnetons per cell. Number 10: E -13.99 eV per cell, M_tot 0.00 Bohr magnetons per cell. Number 11: E -19.74 eV per cell, M_tot 0.00 Bohr magnetons per cell. Number 12: E -24.22 eV per cell, M_tot 0.00 Bohr magnetons per cell.